A plane-wave DFT calculation with GGA+U was carried out for a relaxed structure of MnZnNiP2O9.

Values from the calculation:
Theoretical density in Mg/m³: 3.84
V in Å³ per cell: 666.1
M_tot in μB per cell: 20.0
Raw total energy in eV/atom: -6.5131

Unit cell a=14.1969 b=6.1768 c=7.5957 alpha=90.00 beta=90.00 gamma=90.00
Closest atoms and distances in Å follow each position.
Space group Pnma (No. 62)
Symmetry-distinct sites (fractional):
Mn1 0.1108 0.2500 0.1640 x4  5 O 1.79-1.92
Zn1 0.1657 0.2500 0.6957 x4  4 O 2.01-2.17
Ni1 0.0000 0.0000 0.5000 x4  6 O 1.96-2.16
P1 0.0571 0.7500 0.1404 x4  4 O 1.52-1.58
P2 0.2073 0.7500 0.5887 x4  4 O 1.55-1.58
O1 0.0024 0.7500 0.9685 x4  1 P 1.52
O2 0.0129 0.2500 0.6976 x4  1 P 1.58
O3 0.0454 0.2500 0.3648 x4  1 Mn 1.79, 2 Ni 1.96
O4 0.1248 0.5563 0.1543 x8  1 P 1.54
O5 0.1452 0.5437 0.5792 x8  1 P 1.55
O6 0.2113 0.2500 0.9463 x4  1 P 1.58
O7 0.2351 0.2500 0.2633 x4  1 P 1.56